VASP calculation (PBE) on a relaxed NiAs2SeI crystal.

Lattice parameters (Å, degrees): 4.737 4.737 4.842 90.00 90.00 90.00
Sites, in units of the cell vectors:
Ni 0.000 0.000 0.000
As 0.000 0.500 0.000
As 0.500 0.000 0.000
Se 0.000 0.000 0.500
I 0.500 0.500 0.500

Calculated values
Spin magnetization = 0.0 μB/f.u.
Total energy = -3.571 eV/atom
Uncorrected formation energy = 10.43 kcal/mol of atoms
Energy above the most stable polymorph in this dataset = 0.0 meV/atom

VASP calculation (PBE) on a relaxed NaTiHg3 crystal.

Lattice parameters (Å, degrees): 5.401 5.401 5.401 90.00 90.00 90.00
Sites, in units of the cell vectors:
Na 0.000 0.000 0.000
Ti 0.500 0.500 0.500
Hg 0.000 0.500 0.500
Hg 0.500 0.000 0.500
Hg 0.500 0.500 0.000

Calculated values
Spin magnetization = 2.0 μB/f.u.
Total energy = -1.778 eV/atom
Energy above the most stable polymorph in this dataset = 0.0 meV/atom
Energy of formation = 245.9 meV per atom

VASP calculation (PBE) on a relaxed BeNb3In crystal.

Lattice parameters (Å, degrees): 4.482 4.482 4.482 90.00 90.00 90.00
Sites, in units of the cell vectors:
Be 0.000 0.000 0.000
Nb 0.000 0.000 0.500
Nb 0.000 0.500 0.000
Nb 0.500 0.000 0.000
In 0.500 0.500 0.500

Calculated values
Spin magnetization = 0.0 μB/f.u.
Total energy = -7.026 eV/atom
Energy above the most stable polymorph in this dataset = 0.0 meV/atom
Energy of formation = 309.2 meV per atom